DFT (GGA-PBE) results for a geometry-optimized LaHoThSc structure.

Properties
Total DFT energy (no corrections) (eV/atom): -5.793
N(E_F) (states/eV/f.u.): 3.67
Calculated formation energy (meV per atom): 21
ΔE to the lowest computed polymorph (eV per atom): 0.000

Cell: 3.5868 3.5868 9.6531 Å, 90.00 90.00 90.00°
Fractional positions:
La (0.0000, 0.0000, 0.0000)
Ho (0.5000, 0.5000, 0.7266)
Th (0.0000, 0.0000, 0.4784)
Sc (0.5000, 0.5000, 0.2495)